Pu2AuBr | GGA-PBE | relaxed

total DFT energy (no corrections): -35.9 eV/cell
M_tot: 12.34 μB/f.u.

a b c (Å): 3.475 3.475 8.250
angles (deg): 90.00 90.00 90.00
Positions (direct):
Pu 0.000 0.000 0.235
Pu 0.000 0.000 0.765
Au 0.500 0.500 0.000
Br 0.500 0.500 0.500